# Li7Mn2Co3O12

A relaxed Li7Mn2Co3O12 crystal (PBE+U, Alexandria).

Output
The energy above the most stable polymorph in this dataset comes out at 47 meV per atom.

```
Li7Mn2Co3O12
1.0
-1.272 -0.819 -2.498
6.205 -4.523 -0.167
-4.900 -6.008 6.009
Co Li O Mn
3 7 12 2
direct
0.836 0.180 0.496
0.650 0.346 0.000
0.353 0.653 0.001
0.515 0.505 0.509
0.444 0.096 0.755
0.251 0.249 0.255
0.728 0.738 0.742
0.087 0.430 0.738
0.584 0.909 0.247
0.900 0.571 0.257
0.132 0.649 0.617
0.040 0.201 0.890
0.557 0.724 0.389
0.970 0.798 0.111
0.862 0.350 0.385
0.603 0.109 0.110
0.276 0.455 0.127
0.177 0.040 0.389
0.726 0.541 0.876
0.764 0.959 0.602
0.406 0.891 0.889
0.481 0.278 0.615
0.155 0.829 0.500
0.004 0.999 0.000
```